(1)
A plane-wave DFT calculation with GGA-PBE was carried out for NbCrSi after structural relaxation.

D(E_F): 1.118 states/eV/atom
formation energy without anion corrections: -1.37 eV/f.u.
total energy: -105.96 eV for the cell shown
calculated volume: 13.9 Å³/atom

Unit cell a=4.767 b=5.057 c=6.894 alpha=90.00 beta=90.00 gamma=90.00
Space group Imma (No. 74)
One atom of each set of equivalent atoms:
Nb 0.000 0.250 0.125
Cr 0.250 0.250 0.750
Si 0.000 0.000 0.500


(2)
A plane-wave DFT calculation with GGA-PBE was carried out for ThNbCrSi2 after structural relaxation.

D(E_F): 0.570 states/eV/atom
formation energy without anion corrections: -2.61 eV/f.u.
total energy: -81.13 eV for the cell shown
calculated volume: 18.4 Å³/atom

Unit cell a=4.039 b=4.039 c=11.299 alpha=90.00 beta=90.00 gamma=90.00
Space group I-4m2 (No. 119)
One atom of each set of equivalent atoms:
Th 0.000 0.000 0.000
Nb 0.000 0.500 0.750
Cr 0.000 0.500 0.250
Si 0.000 0.000 0.390


(3)
A plane-wave DFT calculation with GGA-PBE was carried out for NbVCrSi2 after structural relaxation.

D(E_F): 1.304 states/eV/atom
formation energy without anion corrections: 6.12 eV/f.u.
total energy: -33.53 eV for the cell shown
calculated volume: 21.2 Å³/atom

Unit cell a=4.802 b=4.802 c=4.593 alpha=90.00 beta=90.00 gamma=90.00
Space group P4/mmm (No. 123)
One atom of each set of equivalent atoms:
Nb 0.000 0.000 0.000
V 0.500 0.500 0.500
Cr 0.000 0.000 0.500
Si 0.000 0.500 0.000


(4)
A plane-wave DFT calculation with GGA-PBE was carried out for YNbCr2Si after structural relaxation.

D(E_F): 1.483 states/eV/atom
formation energy without anion corrections: 9.81 eV/f.u.
total energy: -31.39 eV for the cell shown
calculated volume: 21.6 Å³/atom

Unit cell a=4.612 b=4.612 c=5.086 alpha=90.00 beta=90.00 gamma=90.00
Space group P4/mmm (No. 123)
One atom of each set of equivalent atoms:
Y 0.000 0.000 0.000
Nb 0.500 0.500 0.500
Cr 0.000 0.500 0.000
Si 0.000 0.000 0.500


(5)
A plane-wave DFT calculation with GGA-PBE was carried out for NbZn2CrSi after structural relaxation.

D(E_F): 0.908 states/eV/atom
formation energy without anion corrections: 4.05 eV/f.u.
total energy: -23.62 eV for the cell shown
calculated volume: 19.4 Å³/atom

Unit cell a=4.486 b=4.486 c=4.810 alpha=90.00 beta=90.00 gamma=90.00
Space group P4/mmm (No. 123)
One atom of each set of equivalent atoms:
Nb 0.000 0.000 0.000
Zn 0.000 0.500 0.500
Cr 0.500 0.500 0.000
Si 0.000 0.000 0.500


(6)
A plane-wave DFT calculation with GGA-PBE was carried out for NbCrSn2 after structural relaxation.

D(E_F): 0.476 states/eV/atom
energy above the lowest structure with this stoichiometry: 42 meV per atom
formation energy: 1.79 eV/f.u.
total energy: -77.71 eV for the cell shown
calculated volume: 22.4 Å³/atom

Unit cell a=3.1806 b=3.1806 c=30.6523 alpha=90.00 beta=90.00 gamma=120.00
Space group R-3m (No. 166, hexagonal axes)
One atom of each set of equivalent atoms:
Nb 0.0000 0.0000 0.0000
Cr 0.0000 0.0000 0.5000
Sn 0.0000 0.0000 0.4101